(1)
Density functional theory data (PBE-GGA) for a geometry-optimized SrMoPd structure.

a = 5.782 Å, b = 5.185 Å, c = 5.782 Å
α = 63.35°, β = 63.49°, γ = 63.35°
Fractional coordinates of all 6 atoms:
1 Sr 0.665 0.689 0.820
2 Mo 0.288 0.284 0.443
3 Pd 0.294 0.321 0.928
4 Sr 0.920 0.935 0.075
5 Mo 0.288 0.849 0.443
6 Pd 0.773 0.321 0.450

Properties
Symmetry = Imm2, No. 44
ΔH_f (0 K) = 0.38 eV per formula unit
ΔE to the lowest computed polymorph = 0.062 eV/atom

***

(2)
Density functional theory data (PBE-GGA) for a geometry-optimized Rb2AgH structure.

a = 4.507 Å, b = 4.507 Å, c = 8.661 Å
α = 74.92°, β = 74.92°, γ = 60.00°
Fractional coordinates of all 4 atoms:
1 H 0.667 0.667 0.000
2 Rb 0.069 0.069 0.794
3 Rb 0.265 0.265 0.205
4 Ag 0.500 0.500 0.501

Properties
Symmetry = R3m, No. 160
ΔE to the lowest computed polymorph = 0.009 eV/atom

***

(3)
Density functional theory data (PBE-GGA) for a geometry-optimized Ce2Pm3DyTe6 structure.

a = 4.429 Å, b = 8.971 Å, c = 9.970 Å
α = 103.34°, β = 102.83°, γ = 90.00°
Last column: magnetic moment on the atom in μB.
Fractional coordinates of all 12 atoms:
1 Te 0.001 0.757 0.002  0.00
2 Pm 0.168 0.834 0.337  0.01
3 Pm 0.500 0.500 0.000  0.02
4 Pm 0.832 0.166 0.663  0.01
5 Dy 0.500 0.000 0.000  0.04
6 Te 0.664 0.081 0.327  -0.01
7 Te 0.666 0.585 0.332  -0.01
8 Ce 0.167 0.336 0.335  0.96
9 Te 0.336 0.919 0.673  -0.01
10 Te 0.334 0.415 0.668  -0.01
11 Ce 0.833 0.664 0.665  0.96
12 Te 0.999 0.243 0.998  0.00

Properties
Formation energy from raw total energies = -1379 meV per atom
Symmetry = C2/m, No. 12

***

(4)
Density functional theory data (PBE-GGA) for a geometry-optimized Zn3Ru4 structure.

a = 4.807 Å, b = 4.807 Å, c = 4.843 Å
α = 90.00°, β = 90.00°, γ = 120.00°
Fractional coordinates of all 7 atoms:
1 Ru 0.000 0.000 0.740
2 Ru 0.667 0.333 0.500
3 Ru 0.333 0.667 0.500
4 Zn 0.500 0.000 0.000
5 Zn 0.000 0.500 0.000
6 Zn 0.500 0.500 0.000
7 Ru 0.000 0.000 0.260

Properties
Symmetry = P6/mmm, No. 191
ΔH_f (0 K) = 1.38 eV per formula unit
ΔE to the lowest computed polymorph = 0.228 eV/atom